Ca3Tl3PdO8: relaxed, GGA-PBE.

Computed properties:
Volume = 236 Å³/f.u.
Final energy = -79.420 eV/f.u.
DOS at the Fermi energy = 0.644 states/eV per atom
Space group = No. 166
Formation energy from raw total energies = -32.989 kcal/mol of atoms

abc: 7.0093 7.0077 6.8666
angles: 120.68 90.00 120.01
Last column: nearest neighbours and their distance in Å.
Fractional positions:
Ca (0.0000, 0.0000, 0.0000)  6 O 2.36-2.43
Ca (0.0000, 0.5000, 0.0000)  6 O 2.36-2.43
Ca (0.5000, 0.5000, 0.0000)  6 O 2.36-2.43
Tl (0.5000, 0.0000, 0.5000)  6 O 2.53-2.56
Tl (0.5000, 0.5000, 0.5000)  6 O 2.53-2.56
Tl (0.0000, 0.5000, 0.5000)  6 O 2.53-2.56
Pd (0.0000, 0.0000, 0.5000)  6 O 2.09
O (0.2391, 0.4783, 0.2175)  3 Ca 2.36, 3 Tl 2.56
O (0.7609, 0.5217, 0.7825)  3 Ca 2.36, 3 Tl 2.56
O (0.7869, 0.5738, 0.2786)  1 Pd 2.09
O (0.2131, 0.4262, 0.7214)  1 Pd 2.09
O (0.7871, 0.9918, 0.2786)  1 Pd 2.09
O (0.2129, 0.0082, 0.7214)  1 Pd 2.09
O (0.2047, 0.9918, 0.2786)  1 Pd 2.09
O (0.7953, 0.0082, 0.7214)  1 Pd 2.09